Entry 1:
16
Lattice="8.224 0.000 0.000 0.000 8.224 0.000 0.000 0.000 8.224" Properties=species:S:1:pos:R:3 comment="PBE KCaBr2, relaxed" space_group="F-43m (216)" formation_energy_uncorrected_kcal_per_mol_atoms=-18.171 final_energy_ev_per_cell=-38.39 de_polymorph_kj_per_mol_fu=269 pbc="T T T"
K 0.000 0.000 0.000
K 0.000 4.112 4.112
K 4.112 0.000 4.112
K 4.112 4.112 0.000
Ca 2.056 2.056 6.168
Ca 2.056 6.168 2.056
Ca 6.168 2.056 2.056
Ca 6.168 6.168 6.168
Br 0.000 0.000 4.112
Br 0.000 4.112 0.000
Br 2.056 2.056 2.056
Br 2.056 6.168 6.168
Br 4.112 0.000 0.000
Br 4.112 4.112 4.112
Br 6.168 2.056 6.168
Br 6.168 6.168 2.056

***

Entry 2:
7
Lattice="7.698 0.000 0.000 -3.849 6.667 0.000 0.000 0.000 4.732" Properties=species:S:1:pos:R:3 comment="PBE K3Cu4, relaxed" space_group="P6/mmm (191)" final_energy_ev_per_cell=-15.08 e_form_ev_per_atom=0.656 pbc="T T T"
K -1.925 3.334 0.000
K 3.849 0.000 0.000
K 1.925 3.334 0.000
Cu 0.000 0.000 1.184
Cu 0.000 0.000 3.549
Cu 0.000 4.445 2.366
Cu 3.849 2.222 2.366

***

Entry 3:
4
Lattice="3.263 0.000 0.000 0.000 3.263 0.000 0.000 0.000 5.524" Properties=species:S:1:pos:R:3 comment="PBE FeIrW2, relaxed" space_group="P4/mmm (123)" final_energy_ev_per_cell=-42.49 e_form_ev_per_atom=0.185 de_polymorph_kj_per_mol_fu=93 pbc="T T T"
Fe 0.000 0.000 0.000
Ir 0.000 0.000 2.762
W 1.632 1.632 1.290
W 1.632 1.632 4.234

***

Which formula does entry 3 have?
FeIrW2

***

What is the formula in the second record?
K3Cu4